Entry 1:
A plane-wave DFT calculation with PBE-GGA was carried out for an optimized crystal structure of Ho5TlIn4.

Computed properties:
magnetization = 0.000 Bohr magnetons per cell
DFT formation energy = -4.3 eV per formula unit
uncorrected energy = -4.05 eV per atom
theoretical density = 9.345 Mg/m³

abc: 3.724 3.724 19.073
angles: 90.00 90.00 90.00
Atoms (fractional coordinates):
Ho1 0.500 0.500 0.302
Ho2 0.500 0.500 0.500
Ho3 0.500 0.500 0.897
Ho4 0.500 0.500 0.698
Ho5 0.500 0.500 0.103
In1 0.000 0.000 0.401
In2 0.000 0.000 0.798
In3 0.000 0.000 0.599
In4 0.000 0.000 0.202
Tl1 0.000 0.000 0.000


Entry 2:
A plane-wave DFT calculation with PBE-GGA was carried out for an optimized crystal structure of HoTlIn.

Computed properties:
magnetization = 0.000 Bohr magnetons per cell
DFT formation energy = -0.8 eV per formula unit
uncorrected energy = -3.49 eV per atom
theoretical density = 10.119 Mg/m³

abc: 3.647 5.015 5.015
angles: 120.00 90.00 90.00
Atoms (fractional coordinates):
Tl1 0.042 0.000 0.000
Ho1 0.682 0.667 0.333
In1 0.276 0.333 0.667


Entry 3:
A plane-wave DFT calculation with PBE-GGA was carried out for an optimized crystal structure of Ho3Tl2In.

Computed properties:
magnetization = 0.001 Bohr magnetons per cell
DFT formation energy = -2.2 eV per formula unit
uncorrected energy = -3.91 eV per atom
theoretical density = 10.504 Mg/m³

abc: 3.635 3.635 12.187
angles: 90.00 90.00 90.00
Atoms (fractional coordinates):
Tl1 0.500 0.500 0.833
Tl2 0.500 0.500 0.167
In1 0.500 0.500 0.500
Ho1 0.000 0.000 0.000
Ho2 0.000 0.000 0.664
Ho3 0.000 0.000 0.336


Entry 4:
A plane-wave DFT calculation with PBE-GGA was carried out for an optimized crystal structure of Ho8Tl2In3.

Computed properties:
magnetization = 0.750 Bohr magnetons per cell
DFT formation energy = -1.9 eV per formula unit
uncorrected energy = -3.96 eV per atom
theoretical density = 8.919 Mg/m³

abc: 5.472 8.651 9.229
angles: 117.95 90.02 90.00
Last column: magnetic moment on the atom in μB.
Atoms (fractional coordinates):
Ho1 0.000 0.681 0.362  0.07
Ho2 0.000 0.894 0.788  0.14
Ho3 0.000 0.106 0.212  0.14
Ho4 0.500 0.403 0.228  0.04
Ho5 0.000 0.319 0.638  0.07
Ho6 0.500 0.824 0.228  0.04
Ho7 0.500 0.597 0.772  0.04
Ho8 0.500 0.176 0.772  0.04
In1 0.000 0.677 0.000  0.00
In2 0.500 0.000 0.000  0.00
In3 0.000 0.323 0.000  0.00
Tl1 0.500 0.774 0.547  0.00
Tl2 0.500 0.226 0.453  0.00


Entry 5:
A plane-wave DFT calculation with PBE-GGA was carried out for an optimized crystal structure of Ho7Tl3In.

Computed properties:
magnetization = 0.000 Bohr magnetons per cell
DFT formation energy = -0.9 eV per formula unit
uncorrected energy = -3.89 eV per atom
theoretical density = 9.574 Mg/m³

abc: 5.894 7.901 7.901
angles: 92.70 108.49 108.49
Atoms (fractional coordinates):
Ho1 0.166 0.185 0.185
Ho2 0.310 0.049 0.599
Ho3 0.310 0.599 0.049
Ho4 0.000 0.500 0.500
Ho5 0.834 0.815 0.815
Ho6 0.690 0.951 0.401
Ho7 0.690 0.401 0.951
Tl1 0.500 0.000 0.000
Tl2 0.000 0.230 0.770
Tl3 0.000 0.770 0.230
In1 0.500 0.500 0.500


Entry 6:
A plane-wave DFT calculation with PBE-GGA was carried out for an optimized crystal structure of Ho6TlIn.

Computed properties:
magnetization = 0.002 Bohr magnetons per cell
DFT formation energy = -1.7 eV per formula unit
uncorrected energy = -4.29 eV per atom
theoretical density = 9.667 Mg/m³

abc: 4.826 4.826 9.653
angles: 90.00 90.00 90.00
Atoms (fractional coordinates):
Ho1 0.500 0.500 0.000
Ho2 0.000 0.500 0.752
Ho3 0.500 0.000 0.248
Ho4 0.500 0.000 0.752
Ho5 0.000 0.500 0.248
Ho6 0.500 0.500 0.500
Tl1 0.000 0.000 0.500
In1 0.000 0.000 0.000